This record from the Alexandria database describes a relaxed HfMg6SbO8 crystal. The functional is PBE.

Results
Density: 4.82 Mg/m³
Space group: P4/mmm (123)
ΔE_f (raw): -34.26 eV/f.u.

a b c (Å): 4.3179 4.3179 10.6110
angles (deg): 90.00 90.00 90.00
Positions (direct):
Hf: 0.0000 0.0000 0.5000
Mg: 0.5000 0.5000 0.0000
Mg: 0.5000 0.5000 0.5000
Mg: 0.0000 0.5000 0.2270
Mg: 0.0000 0.5000 0.7730
Mg: 0.5000 0.0000 0.2270
Mg: 0.5000 0.0000 0.7730
Sb: 0.0000 0.0000 0.0000
O: 0.0000 0.0000 0.3044
O: 0.0000 0.0000 0.6956
O: 0.5000 0.5000 0.2071
O: 0.5000 0.5000 0.7929
O: 0.0000 0.5000 0.0000
O: 0.0000 0.5000 0.5000
O: 0.5000 0.0000 0.0000
O: 0.5000 0.0000 0.5000

***

This record from the Alexandria database describes a relaxed Zn2Ni5Ge crystal. The functional is PBE.

Results
Density: 8.49 Mg/m³
Space group: I4/mcm (140)
Formation energy from the elements: -0.120 eV per atom

a b c (Å): 6.2355 6.2355 6.6679
angles (deg): 117.88 117.88 90.00
Positions (direct):
Zn: 0.1454 0.3546 0.0000
Zn: 0.6454 0.1454 0.0000
Zn: 0.3546 0.8546 0.0000
Zn: 0.8546 0.6454 0.0000
Ni: 0.4829 0.6851 0.6680
Ni: 0.8149 0.0171 0.3320
Ni: 0.0000 0.0000 0.0000
Ni: 0.5000 0.5000 0.0000
Ni: 0.1851 0.9829 0.6680
Ni: 0.6851 0.1851 0.6680
Ni: 0.9829 0.4829 0.6680
Ni: 0.3149 0.8149 0.3320
Ni: 0.0171 0.5171 0.3320
Ni: 0.5171 0.3149 0.3320
Ge: 0.7500 0.7500 0.5000
Ge: 0.2500 0.2500 0.5000

***

This record from the Alexandria database describes a relaxed Pr2Nd8Tl crystal. The functional is PBE.

Results
Density: 7.25 Mg/m³
Space group: C2/m (12)
Formation energy from the elements: -0.041 eV per atom

a b c (Å): 5.1150 8.1766 9.6518
angles (deg): 104.74 105.37 90.00
Positions (direct):
Pr: 0.7763 0.3649 0.5525
Pr: 0.2237 0.6351 0.4475
Nd: 0.4110 0.5588 0.8220
Nd: 0.6779 0.9085 0.3558
Nd: 0.8640 0.8227 0.7279
Nd: 0.9560 0.2734 0.9121
Nd: 0.1360 0.1773 0.2721
Nd: 0.3221 0.0915 0.6442
Nd: 0.5890 0.4412 0.1780
Nd: 0.0440 0.7266 0.0879
Tl: 0.5000 0.0000 0.0000

***

This record from the Alexandria database describes a relaxed Al2PbSe crystal. The functional is PBE.

Results
Density: 5.90 Mg/m³
Space group: Cm (8)
ΔE_f (raw): -0.02 eV/f.u.

a b c (Å): 5.7098 5.7098 5.7403
angles (deg): 64.85 64.85 34.81
Positions (direct):
Pb: 0.4738 0.4738 0.4961
Al: 0.0038 0.0038 0.9535
Al: 0.7196 0.7196 0.8924
Se: 0.3028 0.3028 0.1580

***

Here are the calculated E numbers, same order: -6.10; -4.63; -4.59; -3.68 (eV per atom).
Here are the calculated M_tot numbers, same order: 0.01; 0.00; 0.00; 0.00 (μB/atom).